This record from Alexandria describes a relaxed NaAs2CS crystal. The functional is PBE.

Raw formation energy = 1.085 eV/atom
Symmetry = P4/mmm (123)
D(E_F) = 3.2 states/eV per cell

```
5
Lattice="5.102 0.000 0.000 0.000 3.523 0.000 0.000 0.000 5.102" Properties=species:S:1:pos:R:3 pbc="T T T"
C 0.000 1.762 0.000
Na 2.551 1.762 2.551
As 0.000 0.000 2.551
As 2.551 0.000 0.000
S 0.000 0.000 0.000
```

***

This record from Alexandria describes a relaxed NaTeAsC2 crystal. The functional is PBE.

Raw formation energy = 2.033 eV/atom
Symmetry = P4/mmm (123)
D(E_F) = 3.9 states/eV per cell

```
5
Lattice="4.348 0.000 0.000 0.000 5.467 0.000 0.000 0.000 4.348" Properties=species:S:1:pos:R:3 pbc="T T T"
Na 2.174 2.733 2.174
As 0.000 2.733 0.000
Te 0.000 0.000 0.000
C 0.000 0.000 2.174
C 2.174 0.000 0.000
```

***

This record from Alexandria describes a relaxed NaTl2AsC crystal. The functional is PBE.

Symmetry = P4/mmm (123)
Energy of formation from the pure elements = 16.49 kcal/mol of atoms
D(E_F) = 2.5 states/eV per cell

```
5
Lattice="5.871 0.000 0.000 0.000 3.852 0.000 0.000 0.000 5.871" Properties=species:S:1:pos:R:3 pbc="T T T"
C 0.000 0.000 0.000
Na 2.936 1.926 2.936
Tl 0.000 0.000 2.936
Tl 2.936 0.000 0.000
As 0.000 1.926 0.000
```

***

This record from Alexandria describes a relaxed Na2YAsC crystal. The functional is PBE.

Symmetry = P4/mmm (123)
Energy of formation from the pure elements = 16.67 kcal/mol of atoms
D(E_F) = 3.4 states/eV per cell

```
5
Lattice="-4.112 -1.026 -1.760 1.963 -0.285 -4.420 0.833 -4.464 0.658" Properties=species:S:1:pos:R:3 pbc="T T T"
Y -0.658 -2.888 -2.761
Na 0.416 -2.232 0.329
Na -2.056 -0.513 -0.880
As 0.982 -0.143 -2.210
C 0.000 0.000 0.000
```

***

This record from Alexandria describes a relaxed NaZnAsC2 crystal. The functional is PBE.

Symmetry = P4/mmm (123)
Energy of formation from the pure elements = 46.05 kcal/mol of atoms
D(E_F) = 3.5 states/eV per cell

```
5
Lattice="-1.865 -1.054 3.411 4.143 -1.919 1.672 0.984 3.548 1.634" Properties=species:S:1:pos:R:3 pbc="T T T"
C 0.492 1.774 0.817
C -0.932 -0.527 1.706
Na 2.072 -0.959 0.836
As 1.631 0.288 3.358
Zn 0.000 0.000 0.000
```

***

This record from Alexandria describes a relaxed Nb2AsC crystal. The functional is PBE.

Energy above the most stable polymorph in this dataset = 0.000 eV/atom
Symmetry = P6_3/mmc (194)
Energy of formation from the pure elements = -14.60 kcal/mol of atoms
D(E_F) = 3.9 states/eV per cell

```
8
Lattice="-3.189 0.831 -0.533 0.859 -1.624 2.788 1.819 10.567 5.594" Properties=species:S:1:pos:R:3 pbc="T T T"
Nb 0.247 3.480 3.950
Nb -0.193 9.582 5.640
Nb -0.759 6.294 3.900
Nb -0.319 0.192 2.209
As -1.385 2.654 1.973
As 0.873 7.120 5.877
C 0.909 5.283 2.797
C 0.000 0.000 0.000
```

***

This record from Alexandria describes a relaxed Nb7As2C2 crystal. The functional is PBE.

Symmetry = Imm2 (44)
Energy of formation from the pure elements = -7.87 kcal/mol of atoms
D(E_F) = 5.7 states/eV per cell

```
11
Lattice="3.252 0.000 0.000 1.626 7.702 0.083 1.626 3.725 6.742" Properties=species:S:1:pos:R:3 pbc="T T T"
Nb 3.252 1.704 1.910
Nb 4.879 6.542 6.026
Nb 3.252 3.764 6.677
Nb 3.252 4.595 1.846
Nb 3.252 7.623 3.655
Nb 3.252 8.938 6.230
Nb 1.626 3.020 3.922
As 1.626 6.681 1.792
As 3.252 5.108 4.426
C 4.879 9.066 4.418
C 1.626 3.238 0.937
```

***

This record from Alexandria describes a relaxed NbAsC2 crystal. The functional is PBE.

Symmetry = I-42d (122)
Energy of formation from the pure elements = 17.92 kcal/mol of atoms
D(E_F) = 6.9 states/eV per cell

```
8
Lattice="-0.537 2.585 4.148 -2.465 -3.747 2.016 2.443 -2.319 4.675" Properties=species:S:1:pos:R:3 pbc="T T T"
C -0.025 0.530 3.953
C -1.005 -2.561 3.007
C 0.671 -2.229 5.847
C -0.758 -2.701 8.870
Nb 0.000 0.000 0.000
Nb 0.203 -0.157 5.953
As -1.501 -0.581 3.082
As -0.761 -3.323 4.886
```

***

Number 1: total magnetization 0.00 μB per cell. Number 2: total magnetization 0.45 μB per cell. Number 3: total magnetization 0.00 μB per cell. Number 4: total magnetization 0.02 μB per cell. Number 5: total magnetization 0.00 μB per cell. Number 6: total magnetization 0.00 μB per cell. Number 7: total magnetization 0.00 μB per cell. Number 8: total magnetization 0.00 μB per cell.